(1)
ZnCo2Au: PBEsol geometry, meta-GGA SCAN.

Summary:
E_form (meV/atom): 47

abc: 3.735 3.735 7.252
angles: 90.00 90.00 90.00
Space group I-4m2 (No. 119)
Asymmetric unit:
1 Zn 0.000 0.000 0.000 x2
2 Co 0.000 0.000 0.500 x2
3 Co 0.000 0.500 0.750 x2
4 Au 0.000 0.500 0.250 x2



(2)
Zr4Pt2N: PBEsol geometry, meta-GGA SCAN.

Summary:
E_form (uncorrected) (eV/f.u.): -10.14

abc: 12.407 12.407 12.407
angles: 90.00 90.00 90.00
Space group Fd-3m (No. 227, origin choice 2)
Asymmetric unit:
1 Zr 0.000 0.000 0.000 x16
2 Zr 0.057 0.375 0.875 x48
3 Pt 0.032 0.032 0.218 x32
4 N 0.000 0.000 0.500 x16



(3)
CsBaSe2N: PBEsol geometry, meta-GGA SCAN.

Summary:
E_form (uncorrected) (eV/f.u.): 1.97

abc: 5.787 5.787 4.596
angles: 90.00 90.00 90.00
Space group P4/mmm (No. 123)
Asymmetric unit:
1 Cs 0.000 0.000 0.000 x1
2 Ba 0.500 0.500 0.500 x1
3 Se 0.000 0.500 0.000 x2
4 N 0.000 0.000 0.500 x1



(4)
ReMoIr2: PBEsol geometry, meta-GGA SCAN.

Summary:
Energy above the most stable polymorph in this dataset (eV per atom): 0.646
E_form (meV/atom): 232

abc: 6.171 6.171 6.171
angles: 90.00 90.00 90.00
Space group F-43m (No. 216)
Asymmetric unit:
1 Re 0.000 0.000 0.000 x4
2 Mo 0.250 0.250 0.750 x4
3 Ir 0.000 0.000 0.500 x4
4 Ir 0.250 0.250 0.250 x4